Record 1
Below is SrCaBr2 after structural relaxation, with properties calculated at the PBE level.

* DOS at the Fermi energy: 1.67 states/eV/cell
* total DFT energy (no corrections): -3.016 eV per atom
* magnetic moment: 1.23 μB per formula unit
* calculated density: 3290 kg/m3
* formation energy without anion corrections: -5.0 eV per formula unit

a b c (Å): 3.960 7.601 4.821
angles (deg): 90.00 90.00 90.00
Each line ends with the local moment (μB).
Fractional coordinates of all 4 atoms:
Br1 0.500 0.500 0.000  0.02
Br2 0.000 0.000 0.000  0.03
Sr1 0.000 0.500 0.500  0.11
Ca1 0.500 0.000 0.500  0.13

Record 2
Below is Sr2CaBr after structural relaxation, with properties calculated at the PBE level.

* DOS at the Fermi energy: 3.74 states/eV/cell
* total DFT energy (no corrections): -2.155 eV per atom
* magnetic moment: 0.00 μB per formula unit
* calculated density: 2766 kg/m3
* formation energy without anion corrections: -1.6 eV per formula unit

a b c (Å): 7.733 7.733 7.733
angles (deg): 141.58 141.58 55.46
Fractional coordinates of all 4 atoms:
Ca1 0.750 0.250 0.500
Sr1 0.250 0.750 0.500
Sr2 0.000 0.000 0.000
Br1 0.500 0.500 0.000

Record 3
Below is SrCaBr after structural relaxation, with properties calculated at the PBE level.

* DOS at the Fermi energy: 3.63 states/eV/cell
* total DFT energy (no corrections): -2.270 eV per atom
* magnetic moment: 0.54 μB per formula unit
* calculated density: 2898 kg/m3
* formation energy without anion corrections: -1.5 eV per formula unit

a b c (Å): 5.520 5.520 5.520
angles (deg): 60.00 60.00 60.00
Each line ends with the local moment (μB).
Fractional coordinates of all 3 atoms:
Br1 0.750 0.750 0.750  0.02
Ca1 0.000 0.000 0.000  0.07
Sr1 0.500 0.500 0.500  0.06

Record 4
Below is SrCaBr after structural relaxation, with properties calculated at the PBE level.

* DOS at the Fermi energy: 2.71 states/eV/cell
* total DFT energy (no corrections): -2.697 eV per atom
* magnetic moment: 0.60 μB per formula unit
* calculated density: 3049 kg/m3
* formation energy without anion corrections: -2.7 eV per formula unit

a b c (Å): 4.113 4.113 7.717
angles (deg): 90.00 90.00 120.00
Each line ends with the local moment (μB).
Fractional coordinates of all 3 atoms:
Sr1 0.333 0.667 0.702  0.08
Ca1 0.667 0.333 0.291  0.06
Br1 0.000 0.000 0.007  0.01

Record 5
Below is SrCaBr2 after structural relaxation, with properties calculated at the PBE level.

* DOS at the Fermi energy: 1.88 states/eV/cell
* total DFT energy (no corrections): -3.021 eV per atom
* magnetic moment: 1.22 μB per formula unit
* calculated density: 3309 kg/m3
* formation energy without anion corrections: -5.1 eV per formula unit

a b c (Å): 4.794 4.266 7.085
angles (deg): 95.23 90.00 90.00
Each line ends with the local moment (μB).
Fractional coordinates of all 4 atoms:
Ca1 0.500 0.250 0.250  0.13
Br1 0.000 0.048 0.000  0.03
Br2 0.000 0.452 0.500  0.03
Sr1 0.500 0.750 0.750  0.11

Record 6
Below is SrCa4Br after structural relaxation, with properties calculated at the PBE level.

* DOS at the Fermi energy: 3.90 states/eV/cell
* total DFT energy (no corrections): -1.936 eV per atom
* magnetic moment: 0.00 μB per formula unit
* calculated density: 1958 kg/m3
* formation energy without anion corrections: -0.3 eV per formula unit

a b c (Å): 7.326 7.326 7.326
angles (deg): 60.00 60.00 60.00
Fractional coordinates of all 6 atoms:
Ca1 0.376 0.376 0.376
Ca2 0.871 0.376 0.376
Ca3 0.376 0.376 0.871
Ca4 0.376 0.871 0.376
Sr1 0.750 0.750 0.750
Br1 0.000 0.000 0.000

Record 7
Below is Sr2Ca2Br after structural relaxation, with properties calculated at the PBE level.

* DOS at the Fermi energy: 17.63 states/eV/cell
* total DFT energy (no corrections): -2.187 eV per atom
* magnetic moment: 0.00 μB per formula unit
* calculated density: 2426 kg/m3
* formation energy without anion corrections: -1.9 eV per formula unit

a b c (Å): 8.201 8.201 6.823
angles (deg): 90.00 90.00 90.00
Fractional coordinates of all 10 atoms:
Sr1 0.162 0.662 0.500
Sr2 0.662 0.838 0.500
Sr3 0.838 0.338 0.500
Sr4 0.338 0.162 0.500
Br1 0.500 0.500 0.000
Br2 0.000 0.000 0.000
Ca1 0.161 0.339 0.000
Ca2 0.339 0.839 0.000
Ca3 0.839 0.661 0.000
Ca4 0.661 0.161 0.000

Record 8
Below is Sr2CaBr after structural relaxation, with properties calculated at the PBE level.

* DOS at the Fermi energy: 3.61 states/eV/cell
* total DFT energy (no corrections): -2.134 eV per atom
* magnetic moment: 0.00 μB per formula unit
* calculated density: 2699 kg/m3
* formation energy without anion corrections: -1.5 eV per formula unit

a b c (Å): 4.251 7.058 6.054
angles (deg): 90.00 90.00 90.00
Fractional coordinates of all 4 atoms:
Sr1 0.000 0.000 0.000
Sr2 0.500 0.500 0.000
Br1 0.500 0.000 0.500
Ca1 0.000 0.500 0.500

Record 9
Below is SrCa2Br after structural relaxation, with properties calculated at the PBE level.

* DOS at the Fermi energy: 4.88 states/eV/cell
* total DFT energy (no corrections): -2.223 eV per atom
* magnetic moment: 0.00 μB per formula unit
* calculated density: 2449 kg/m3
* formation energy without anion corrections: -1.5 eV per formula unit

a b c (Å): 7.160 4.843 4.843
angles (deg): 90.00 90.00 90.00
Fractional coordinates of all 4 atoms:
Ca1 0.000 0.500 0.500
Ca2 0.000 0.000 0.000
Sr1 0.500 0.500 0.000
Br1 0.500 0.000 0.500

Record 10
Below is SrCaBr2 after structural relaxation, with properties calculated at the PBE level.

* DOS at the Fermi energy: 1.80 states/eV/cell
* total DFT energy (no corrections): -3.016 eV per atom
* magnetic moment: 1.27 μB per formula unit
* calculated density: 3294 kg/m3
* formation energy without anion corrections: -5.0 eV per formula unit

a b c (Å): 7.053 6.442 4.284
angles (deg): 67.70 94.92 125.17
Each line ends with the local moment (μB).
Fractional coordinates of all 4 atoms:
Ca1 0.000 0.500 0.500  0.14
Br1 0.000 0.000 0.000  0.03
Br2 0.500 0.000 0.500  0.03
Sr1 0.500 0.500 0.000  0.11

Record 11
Below is SrCaBr2 after structural relaxation, with properties calculated at the PBE level.

* DOS at the Fermi energy: 1.10 states/eV/cell
* total DFT energy (no corrections): -3.139 eV per atom
* magnetic moment: 0.00 μB per formula unit
* calculated density: 2810 kg/m3
* formation energy without anion corrections: -5.5 eV per formula unit

a b c (Å): 11.068 11.068 11.068
angles (deg): 22.21 22.21 22.21
Fractional coordinates of all 4 atoms:
Br1 0.966 0.966 0.966
Br2 0.534 0.534 0.534
Sr1 0.750 0.750 0.750
Ca1 0.250 0.250 0.250

Record 12
Below is SrCaBr2 after structural relaxation, with properties calculated at the PBE level.

* DOS at the Fermi energy: 1.73 states/eV/cell
* total DFT energy (no corrections): -3.031 eV per atom
* magnetic moment: 1.07 μB per formula unit
* calculated density: 3281 kg/m3
* formation energy without anion corrections: -5.1 eV per formula unit

a b c (Å): 6.451 6.451 6.451
angles (deg): 144.05 108.22 82.98
Each line ends with the local moment (μB).
Fractional coordinates of all 4 atoms:
Sr1 0.750 0.250 0.500  0.10
Br1 0.024 0.024 0.000  0.02
Br2 0.476 0.476 0.000  0.02
Ca1 0.250 0.750 0.500  0.11

Record 13
Below is SrCaBr2 after structural relaxation, with properties calculated at the PBE level.

* DOS at the Fermi energy: 2.67 states/eV/cell
* total DFT energy (no corrections): -3.122 eV per atom
* magnetic moment: 0.00 μB per formula unit
* calculated density: 2903 kg/m3
* formation energy without anion corrections: -5.5 eV per formula unit

a b c (Å): 10.294 10.294 10.294
angles (deg): 24.46 24.46 24.46
Fractional coordinates of all 4 atoms:
Br1 0.892 0.892 0.892
Br2 0.108 0.108 0.108
Sr1 0.500 0.500 0.500
Ca1 0.000 0.000 0.000

Record 14
Below is SrCa3Br8 after structural relaxation, with properties calculated at the PBE level.

* DOS at the Fermi energy: 0.00 states/eV/cell
* total DFT energy (no corrections): -3.812 eV per atom
* magnetic moment: 0.00 μB per formula unit
* calculated density: 3097 kg/m3
* formation energy without anion corrections: -24.7 eV per formula unit

a b c (Å): 8.762 8.759 8.554
angles (deg): 121.40 90.00 120.01
Fractional coordinates of all 12 atoms:
Br1 0.743 0.486 0.225
Br2 0.749 0.018 0.772
Br3 0.731 0.982 0.228
Br4 0.251 0.502 0.228
Br5 0.251 0.982 0.228
Br6 0.749 0.498 0.772
Br7 0.269 0.018 0.772
Br8 0.257 0.514 0.775
Ca1 0.000 0.500 0.000
Ca2 0.500 0.000 0.000
Ca3 0.500 0.500 0.000
Sr1 0.000 0.000 0.000

Record 15
Below is SrCaBr2 after structural relaxation, with properties calculated at the PBE level.

* DOS at the Fermi energy: 1.22 states/eV/cell
* total DFT energy (no corrections): -3.185 eV per atom
* magnetic moment: 0.00 μB per formula unit
* calculated density: 3255 kg/m3
* formation energy without anion corrections: -5.7 eV per formula unit

a b c (Å): 3.913 3.916 10.342
angles (deg): 67.75 90.00 90.00
Fractional coordinates of all 4 atoms:
Ca1 0.000 0.551 0.450
Br1 0.500 0.194 0.306
Br2 0.000 0.046 0.954
Sr1 0.500 0.709 0.791

Record 16
Below is Sr2CaBr after structural relaxation, with properties calculated at the PBE level.

* DOS at the Fermi energy: 4.62 states/eV/cell
* total DFT energy (no corrections): -2.376 eV per atom
* magnetic moment: 0.00 μB per formula unit
* calculated density: 2779 kg/m3
* formation energy without anion corrections: -2.5 eV per formula unit

a b c (Å): 4.084 7.006 7.130
angles (deg): 59.83 90.00 90.00
Fractional coordinates of all 4 atoms:
Sr1 0.500 0.297 0.318
Sr2 0.000 0.001 0.984
Br1 0.000 0.527 0.488
Ca1 0.500 0.675 0.710

Record 17
Below is SrCa5Br12 after structural relaxation, with properties calculated at the PBE level.

* DOS at the Fermi energy: 0.00 states/eV/cell
* total DFT energy (no corrections): -3.817 eV per atom
* magnetic moment: 0.00 μB per formula unit
* calculated density: 3013 kg/m3
* formation energy without anion corrections: -36.9 eV per formula unit

a b c (Å): 7.522 7.533 13.997
angles (deg): 89.99 89.97 60.05
Fractional coordinates of all 18 atoms:
Br1 0.348 0.652 0.887
Br2 0.348 0.000 0.113
Br3 0.652 0.000 0.887
Br4 0.834 0.000 0.390
Br5 0.000 0.348 0.887
Br6 0.167 0.333 0.391
Br7 0.500 0.667 0.391
Br8 0.000 0.652 0.113
Br9 0.166 0.000 0.610
Br10 0.833 0.667 0.609
Br11 0.500 0.333 0.609
Br12 0.652 0.348 0.113
Sr1 0.000 0.000 0.000
Ca1 0.500 0.000 0.500
Ca2 0.167 0.667 0.500
Ca3 0.667 0.667 0.000
Ca4 0.333 0.333 0.000
Ca5 0.833 0.333 0.500

Record 18
Below is SrCaBr2 after structural relaxation, with properties calculated at the PBE level.

* DOS at the Fermi energy: 2.98 states/eV/cell
* total DFT energy (no corrections): -3.152 eV per atom
* magnetic moment: 0.00 μB per formula unit
* calculated density: 2962 kg/m3
* formation energy without anion corrections: -5.6 eV per formula unit

a b c (Å): 10.390 10.390 10.390
angles (deg): 23.86 23.86 23.86
Fractional coordinates of all 4 atoms:
Ca1 0.500 0.500 0.500
Br1 0.114 0.114 0.114
Br2 0.886 0.886 0.886
Sr1 0.000 0.000 0.000

Record 19
Below is SrCaBr2 after structural relaxation, with properties calculated at the PBE level.

* DOS at the Fermi energy: 3.45 states/eV/cell
* total DFT energy (no corrections): -2.835 eV per atom
* magnetic moment: 0.85 μB per formula unit
* calculated density: 3918 kg/m3
* formation energy without anion corrections: -4.3 eV per formula unit

a b c (Å): 5.393 5.393 4.190
angles (deg): 90.00 90.00 90.00
Each line ends with the local moment (μB).
Fractional coordinates of all 4 atoms:
Ca1 0.500 0.000 0.500  0.17
Sr1 0.000 0.500 0.500  0.11
Br1 0.000 0.000 0.000  0.01
Br2 0.500 0.500 0.000  0.01

Record 20
Below is SrCaBr2 after structural relaxation, with properties calculated at the PBE level.

* DOS at the Fermi energy: 1.51 states/eV/cell
* total DFT energy (no corrections): -2.997 eV per atom
* magnetic moment: 0.07 μB per formula unit
* calculated density: 2933 kg/m3
* formation energy without anion corrections: -5.0 eV per formula unit

a b c (Å): 3.829 3.829 11.100
angles (deg): 90.00 90.00 90.00
Fractional coordinates of all 4 atoms:
Sr1 0.500 0.500 0.750
Br1 0.000 0.000 0.907
Br2 0.000 0.000 0.593
Ca1 0.500 0.500 0.250